[1]
The following is a DFT calculation (PBE) of a relaxed structure of Y3TlRe.

## Properties
D(E_F) in states/eV/f.u.: 4.62
Magnetization in μB/f.u.: 0.00
Space-group type: Pm-3m
Energy above the lowest structure with this stoichiometry in meV per atom: 0
ΔE_f in eV/f.u.: 1.1

Cell: 5.4028 5.4028 5.4028 Å, 90.00 90.00 90.00°
Last column: nearest neighbours and their distance in Å.
Element x y z (fractional)
Tl 0.5000 0.5000 0.5000  12 Y 3.82
Y 0.5000 0.0000 0.0000  2 Re 2.70
Y 0.0000 0.5000 0.0000  2 Re 2.70
Y 0.0000 0.0000 0.5000  2 Re 2.70
Re 0.0000 0.0000 0.0000  6 Y 2.70


[2]
The following is a DFT calculation (PBE) of a relaxed structure of YTl2Re.

## Properties
D(E_F) in states/eV/f.u.: 3.83
Magnetization in μB/f.u.: 0.00
Space-group type: P4mm
Energy above the lowest structure with this stoichiometry in meV per atom: 58
ΔE_f in eV/f.u.: 1.7

Cell: 3.4873 3.4873 8.0275 Å, 90.00 90.00 90.00°
Last column: nearest neighbours and their distance in Å.
Element x y z (fractional)
Y 0.0000 0.0000 0.5518  4 Re 2.97, 1 Tl 3.20
Re 0.5000 0.5000 0.7577  4 Tl 2.91, 4 Y 2.97
Tl 0.5000 0.5000 0.2401  8 Tl 3.39-3.49, 4 Y 3.51
Tl 0.0000 0.0000 0.9505  4 Re 2.91, 1 Y 3.20


[3]
The following is a DFT calculation (PBE) of a relaxed structure of YTl2Re.

## Properties
D(E_F) in states/eV/f.u.: 3.05
Magnetization in μB/f.u.: 0.00
Space-group type: I-42d
Energy above the lowest structure with this stoichiometry in meV per atom: 317
ΔE_f in eV/f.u.: 2.8

Cell: 4.3290 4.3290 10.9937 Å, 78.65 78.65 90.00°
Last column: nearest neighbours and their distance in Å.
Element x y z (fractional)
Re 0.7500 0.2500 0.5000  4 Tl 3.02, 4 Y 3.06
Tl 0.1005 0.6250 0.2500  4 Tl 2.92-3.21, 2 Re 3.02, 2 Y 3.09
Re 0.0000 0.0000 0.0000  4 Tl 3.02, 4 Y 3.06
Y 0.5000 0.5000 0.0000  4 Re 3.06, 4 Tl 3.09
Tl 0.3750 0.3505 0.7500  4 Tl 2.92-3.21, 2 Re 3.02, 2 Y 3.09
Tl 0.6495 0.1250 0.2500  4 Tl 2.92-3.21, 2 Re 3.02, 2 Y 3.09
Tl 0.8750 0.8995 0.7500  4 Tl 2.92-3.21, 2 Re 3.02, 2 Y 3.09
Y 0.2500 0.7500 0.5000  4 Re 3.06, 4 Tl 3.09


[4]
The following is a DFT calculation (PBE) of a relaxed structure of Y2TlRe.

## Properties
D(E_F) in states/eV/f.u.: 2.12
Magnetization in μB/f.u.: 0.00
Space-group type: Fm-3m
Energy above the lowest structure with this stoichiometry in meV per atom: 106
ΔE_f in eV/f.u.: 0.3

Cell: 5.0942 5.0942 5.0942 Å, 60.00 60.00 60.00°
Last column: nearest neighbours and their distance in Å.
Element x y z (fractional)
Y 0.2500 0.2500 0.2500  4 Tl 3.12, 4 Re 3.12
Re 0.0000 0.0000 0.0000  8 Y 3.12
Y 0.7500 0.7500 0.7500  4 Re 3.12, 4 Tl 3.12
Tl 0.5000 0.5000 0.5000  8 Y 3.12


[5]
The following is a DFT calculation (PBE) of a relaxed structure of Y2TlRe.

## Properties
D(E_F) in states/eV/f.u.: 3.13
Magnetization in μB/f.u.: 0.00
Space-group type: Imm2
Energy above the lowest structure with this stoichiometry in meV per atom: 215
ΔE_f in eV/f.u.: 0.7

Cell: 6.2472 6.2472 6.2472 Å, 146.73 132.88 58.90°
Last column: nearest neighbours and their distance in Å.
Element x y z (fractional)
Y 0.7111 0.2111 0.5000  2 Re 2.95, 4 Tl 3.19
Tl 0.2890 0.7890 0.5000  2 Re 2.87, 4 Y 3.19
Y 0.0048 0.0048 0.0000  4 Re 3.07, 2 Y 3.36, 2 Tl 3.43
Re 0.4950 0.4950 0.0000  2 Tl 2.87, 6 Y 2.95-3.07


[6]
The following is a DFT calculation (PBE) of a relaxed structure of YTl2Re.

## Properties
D(E_F) in states/eV/f.u.: 4.60
Magnetization in μB/f.u.: 0.00
Space-group type: I-4m2
Energy above the lowest structure with this stoichiometry in meV per atom: 161
ΔE_f in eV/f.u.: 2.1

Cell: 5.5783 5.5783 5.5783 Å, 133.60 133.60 67.72°
Last column: nearest neighbours and their distance in Å.
Element x y z (fractional)
Y 0.5000 0.5000 0.0000  8 Tl 3.11-3.19, 4 Re 3.19
Re 0.7500 0.2500 0.5000  8 Tl 3.11-3.19, 4 Y 3.19
Tl 0.0000 0.0000 0.0000  4 Y 3.11, 4 Re 3.19, 4 Tl 3.19
Tl 0.2500 0.7500 0.5000  4 Re 3.11, 4 Tl 3.19, 4 Y 3.19


[7]
The following is a DFT calculation (PBE) of a relaxed structure of YTlRe2.

## Properties
D(E_F) in states/eV/f.u.: 5.77
Magnetization in μB/f.u.: 0.00
Space-group type: Fm-3m
Energy above the lowest structure with this stoichiometry in meV per atom: 856
ΔE_f in eV/f.u.: 4.0

Cell: 4.7751 4.7751 4.7751 Å, 60.00 60.00 60.00°
Last column: nearest neighbours and their distance in Å.
Element x y z (fractional)
Tl 0.5000 0.5000 0.5000  8 Re 2.92
Y 0.0000 0.0000 0.0000  8 Re 2.92
Re 0.7500 0.7500 0.7500  4 Tl 2.92, 4 Y 2.92
Re 0.2500 0.2500 0.2500  4 Tl 2.92, 4 Y 2.92


[8]
The following is a DFT calculation (PBE) of a relaxed structure of YTl2Re.

## Properties
D(E_F) in states/eV/f.u.: 4.53
Magnetization in μB/f.u.: 0.47
Space-group type: P4/mmm
Energy above the lowest structure with this stoichiometry in meV per atom: 162
ΔE_f in eV/f.u.: 2.2

Cell: 3.4305 3.4305 7.5424 Å, 90.00 90.00 90.00°
Last column: nearest neighbours and their distance in Å.
Element x y z (fractional)
Re 0.5000 0.5000 0.7500  8 Tl 2.92
Tl 0.0000 0.0000 0.9658  4 Re 2.92, 4 Y 3.24, 1 Tl 3.26
Y 0.5000 0.5000 0.2500  8 Tl 3.24, 4 Y 3.43
Tl 0.0000 0.0000 0.5342  4 Re 2.92, 4 Y 3.24, 1 Tl 3.26